First-principles (PBE) data for crystalline ZrNpPaRe at its relaxed geometry, as listed in the Alexandria database.

Output
Final energy = -10.68 eV/atom
V = 20.4 A^3/atom
Symmetry = No. 216

Cell and atoms, written as POSCAR:
```
ZrNpPaRe
1.0
6.890 0.000 0.000
0.000 6.890 0.000
0.000 0.000 6.890
Zr Np Pa Re
4 4 4 4
Direct
0.000 0.000 0.000
0.000 0.500 0.500
0.500 0.000 0.500
0.500 0.500 0.000
0.250 0.250 0.250
0.250 0.750 0.750
0.750 0.250 0.750
0.750 0.750 0.250
0.000 0.000 0.500
0.000 0.500 0.000
0.500 0.000 0.000
0.500 0.500 0.500
0.250 0.250 0.750
0.250 0.750 0.250
0.750 0.250 0.250
0.750 0.750 0.750
```